Density functional theory data (PBE) for a relaxed BeHgPb2 crystal.

Geometry as extended XYZ:
```
4
Lattice="2.203 -2.723 0.000 2.203 2.723 0.000 0.000 0.000 8.253" Properties=species:S:1:pos:R:3 pbc="T T T"
Be 0.000 0.000 0.000
Hg 2.203 0.000 7.035
Pb 0.000 0.000 4.867
Pb 2.203 0.000 1.857
```

Computed properties:
E_form: 1.352 eV per formula unit
E_tot: -2.523 eV per atom

Density functional theory data (PBE) for a relaxed Sr7Cd2In2 crystal.

Geometry as extended XYZ:
```
11
Lattice="4.323 -6.334 0.000 4.323 6.334 0.000 0.000 0.000 8.557" Properties=species:S:1:pos:R:3 pbc="T T T"
Sr 0.000 0.000 0.000
Sr 2.162 3.167 2.415
Sr 2.162 3.167 6.142
Sr 2.162 -3.167 2.415
Sr 2.162 -3.167 6.142
Sr 4.323 0.000 2.223
Sr 4.323 0.000 6.334
Cd 4.323 2.608 0.000
Cd 4.323 -2.608 0.000
In 1.448 0.000 4.279
In 7.198 0.000 4.279
```

Computed properties:
E_form: -1.480 eV per formula unit
E_tot: -1.869 eV per atom

Density functional theory data (PBE) for a relaxed LiGa8Cu5 crystal.

Geometry as extended XYZ:
```
14
Lattice="-3.776 3.776 3.810 3.776 -3.776 3.810 3.776 3.776 -3.810" Properties=species:S:1:pos:R:3 pbc="T T T"
Li 0.000 0.000 0.000
Ga 2.544 0.763 -0.081
Ga 2.503 3.241 -1.320
Ga 3.013 -1.232 3.891
Ga 1.273 0.535 2.490
Ga 4.311 2.503 1.320
Ga 0.763 5.008 0.081
Ga -0.535 1.273 5.129
Ga 1.232 3.013 3.729
Cu 4.685 1.640 -1.267
Cu 3.776 0.000 1.905
Cu 1.640 2.867 1.267
Cu -0.909 2.136 2.543
Cu 2.136 0.909 5.077
```

Computed properties:
E_form: -0.409 eV per formula unit
E_tot: -3.358 eV per atom

Density functional theory data (PBE) for a relaxed KSrCd2Rh crystal.

Geometry as extended XYZ:
```
5
Lattice="5.427 0.000 0.000 0.000 5.427 0.000 0.000 0.000 5.504" Properties=species:S:1:pos:R:3 pbc="T T T"
K 0.000 0.000 0.000
Sr 2.713 2.713 0.000
Cd 0.000 2.713 2.752
Cd 2.713 0.000 2.752
Rh 2.713 2.713 2.752
```

Computed properties:
E_form: -0.666 eV per formula unit
E_tot: -2.525 eV per atom

Density functional theory data (PBE) for a relaxed CrRhAu2 crystal.

Geometry as extended XYZ:
```
8
Lattice="-3.657 3.657 2.673 3.657 -3.657 2.673 3.657 3.657 -2.673" Properties=species:S:1:pos:R:3 pbc="T T T"
Cr 0.000 0.000 0.000
Cr 0.000 3.657 1.336
Rh 3.657 0.000 1.336
Rh 0.000 0.000 2.673
Au 1.828 1.801 -0.668
Au 1.856 -1.828 3.341
Au 1.828 1.856 2.005
Au 1.801 5.485 0.668
```

Computed properties:
E_form: 1.881 eV per formula unit
E_tot: -5.412 eV per atom

Density functional theory data (PBE) for a relaxed TlSn4Se5 crystal.

Geometry as extended XYZ:
```
20
Lattice="8.413 0.000 0.000 0.000 11.759 0.000 0.000 0.000 6.874" Properties=species:S:1:pos:R:3 pbc="T T T"
Tl 2.103 2.940 0.182
Tl 6.310 8.820 6.692
Sn 0.427 2.940 3.545
Sn 2.103 6.553 6.470
Sn 2.103 11.087 6.470
Sn 3.779 2.940 3.545
Sn 4.634 8.820 3.329
Sn 6.310 0.673 0.404
Sn 6.310 5.207 0.404
Sn 7.986 8.820 3.329
Se 0.040 0.986 5.357
Se 0.040 4.893 5.357
Se 2.103 8.820 4.772
Se 4.167 0.986 5.357
Se 4.167 4.893 5.357
Se 4.246 6.866 1.517
Se 4.246 10.773 1.517
Se 6.310 2.940 2.102
Se 8.374 6.866 1.517
Se 8.374 10.773 1.517
```

Computed properties:
raw formation energy: -0.276 eV per atom
E_tot: -3.856 eV per atom

Density functional theory data (PBE) for a relaxed LaBeGaPd3 crystal.

Geometry as extended XYZ:
```
12
Lattice="2.883 -6.059 0.000 2.883 6.059 0.000 0.000 0.000 6.272" Properties=species:S:1:pos:R:3 pbc="T T T"
La 2.883 3.454 4.704
La 2.883 -3.454 1.568
Be 2.883 0.367 4.704
Be 2.883 -0.367 1.568
Ga 2.883 4.532 1.568
Ga 2.883 -4.532 4.704
Pd 1.401 0.000 0.000
Pd 1.401 0.000 3.136
Pd 2.883 2.034 1.568
Pd 2.883 -2.034 4.704
Pd 4.364 0.000 0.000
Pd 4.364 0.000 3.136
```

Computed properties:
E_form: -3.917 eV per formula unit
E_tot: -5.196 eV per atom

Density functional theory data (PBE) for a relaxed ScCr2HSe crystal.

Geometry as extended XYZ:
```
5
Lattice="3.619 0.000 0.000 0.000 3.619 0.000 0.000 0.000 4.955" Properties=species:S:1:pos:R:3 pbc="T T T"
Sc 0.000 0.000 0.000
Cr 0.000 1.810 2.478
Cr 1.810 0.000 2.478
H 1.810 1.810 2.478
Se 1.810 1.810 0.000
```

Computed properties:
E_tot: -6.423 eV per atom

Density functional theory data (PBE) for a relaxed YMgCl2 crystal.

Geometry as extended XYZ:
```
4
Lattice="1.762 1.017 9.859 -1.762 1.017 9.859 0.000 -2.034 9.859" Properties=species:S:1:pos:R:3 pbc="T T T"
Y 0.000 0.000 0.000
Mg 0.000 0.000 14.789
Cl 0.000 0.000 11.724
Cl 0.000 0.000 17.855
```

Computed properties:
raw formation energy: -1.256 eV per atom
E_tot: -4.194 eV per atom

Density functional theory data (PBE) for a relaxed DyThAlCu crystal.

Geometry as extended XYZ:
```
4
Lattice="0.000 3.618 3.618 3.618 0.000 3.618 3.618 3.618 0.000" Properties=species:S:1:pos:R:3 pbc="T T T"
Dy 0.000 0.000 0.000
Th 3.618 3.618 3.618
Al 1.809 1.809 1.809
Cu 5.428 5.428 5.428
```

Computed properties:
E_form: -0.714 eV per formula unit
E_tot: -5.144 eV per atom

Density functional theory data (PBE) for a relaxed Cd5Se4 crystal.

Geometry as extended XYZ:
```
18
Lattice="8.120 0.000 0.000 -4.060 7.032 0.000 0.000 0.000 7.798" Properties=species:S:1:pos:R:3 pbc="T T T"
Cd -1.019 1.765 1.950
Cd -3.041 5.267 5.849
Cd 2.038 0.000 1.950
Cd 1.019 1.765 5.849
Cd 0.000 4.688 0.000
Cd 0.000 4.688 3.899
Cd 4.060 2.344 0.000
Cd 4.060 2.344 3.899
Cd 6.081 0.000 5.849
Cd 3.041 5.267 1.950
Se 0.000 0.000 0.000
Se 0.000 0.000 3.899
Se -1.713 2.968 5.849
Se -2.346 4.064 1.950
Se 3.427 0.000 5.849
Se 1.713 2.968 1.950
Se 4.693 0.000 1.950
Se 2.346 4.064 5.849
```

Computed properties:
raw formation energy: -0.254 eV per atom
E_tot: -2.311 eV per atom

Density functional theory data (PBE) for a relaxed Ba3SnPt3 crystal.

Geometry as extended XYZ:
```
14
Lattice="2.310 -5.876 0.000 2.310 5.876 0.000 0.000 0.000 15.165" Properties=species:S:1:pos:R:3 pbc="T T T"
Ba 2.310 5.767 11.374
Ba 2.310 2.618 1.602
Ba 2.310 2.618 5.980
Ba 2.310 -2.618 9.185
Ba 2.310 -2.618 13.563
Ba 2.310 -5.767 3.791
Sn 0.000 0.000 0.000
Sn 0.000 0.000 7.582
Pt 2.310 2.049 11.374
Pt 2.310 0.839 8.893
Pt 2.310 0.839 13.855
Pt 2.310 -0.839 1.310
Pt 2.310 -0.839 6.272
Pt 2.310 -2.049 3.791
```

Computed properties:
E_form: -5.136 eV per formula unit
E_tot: -4.719 eV per atom

Density functional theory data (PBE) for a relaxed LaPm6In5 crystal.

Geometry as extended XYZ:
```
12
Lattice="-2.555 4.511 7.694 2.555 -4.511 7.694 2.555 4.511 -7.694" Properties=species:S:1:pos:R:3 pbc="T T T"
La 0.000 0.000 0.000
Pm 2.555 -2.129 5.061
Pm 2.555 2.463 0.000
Pm 0.000 2.382 2.633
Pm 2.555 2.129 5.061
Pm 0.000 2.049 7.694
Pm 0.000 6.640 2.633
In 2.555 0.000 2.381
In 0.000 0.000 4.977
In 0.000 4.511 0.000
In 0.000 0.000 10.410
In 0.000 4.511 5.313
```

Computed properties:
E_form: -4.722 eV per formula unit
E_tot: -4.320 eV per atom

Density functional theory data (PBE) for a relaxed Al3Ga3Ag crystal.

Geometry as extended XYZ:
```
14
Lattice="5.069 0.000 0.000 1.201 7.376 0.000 2.464 3.095 6.585" Properties=species:S:1:pos:R:3 pbc="T T T"
Al 2.405 2.139 2.800
Al 3.133 4.698 3.753
Al 2.279 4.386 0.960
Al 6.454 6.084 5.625
Al 5.600 5.772 2.832
Al 6.329 8.331 3.785
Ga 3.968 5.005 6.534
Ga 2.913 6.918 1.903
Ga 4.574 9.790 5.607
Ga 4.160 0.681 0.978
Ga 5.821 3.552 4.682
Ga 4.766 5.465 0.050
Ag 3.915 7.233 4.614
Ag 4.819 3.237 1.970
```

Computed properties:
E_form: 0.272 eV per formula unit
E_tot: -3.270 eV per atom

Density functional theory data (PBE) for a relaxed SiHgSe crystal.

Geometry as extended XYZ:
```
18
Lattice="9.790 -2.945 0.000 9.790 2.945 0.000 -9.197 0.000 10.158" Properties=species:S:1:pos:R:3 pbc="T T T"
Si 5.191 2.788 5.079
Si 1.687 0.794 5.776
Si 6.286 -0.794 0.697
Si 9.665 0.739 4.421
Si 5.066 -0.739 9.500
Si 9.790 -2.788 0.000
Hg 0.999 1.905 7.976
Hg 9.722 1.717 2.091
Hg 7.422 1.622 5.138
Hg 5.598 -1.905 2.897
Hg 5.123 -1.717 7.169
Hg 12.021 -1.622 0.059
Se 6.302 1.573 0.675
Se 3.888 0.842 4.923
Se 5.274 1.589 9.251
Se -0.711 -0.842 10.002
Se 1.704 -1.573 5.754
Se 9.873 -1.589 4.172
```

Computed properties:
raw formation energy: -0.057 eV per atom
E_tot: -3.126 eV per atom

Density functional theory data (PBE) for a relaxed NiIr3Os crystal.

Geometry as extended XYZ:
```
5
Lattice="4.707 0.000 0.000 0.000 4.707 0.000 0.000 0.000 4.707" Properties=species:S:1:pos:R:3 pbc="T T T"
Ni 0.000 0.000 0.000
Ir 0.000 2.353 2.353
Ir 2.353 0.000 2.353
Ir 2.353 2.353 0.000
Os 2.353 2.353 2.353
```

Computed properties:
E_form: 10.356 eV per formula unit
E_tot: -6.648 eV per atom

Density functional theory data (PBE) for a relaxed TmMg2Au8 crystal.

Geometry as extended XYZ:
```
11
Lattice="7.542 -2.098 0.000 7.542 2.098 0.000 -1.927 0.000 6.448" Properties=species:S:1:pos:R:3 pbc="T T T"
Tm 0.000 0.000 0.000
Mg 3.528 0.000 2.220
Mg 9.631 0.000 4.228
Au 0.690 0.000 2.952
Au 0.976 0.000 5.862
Au 3.839 0.000 5.176
Au 6.376 0.000 1.785
Au 6.782 0.000 4.663
Au 9.320 0.000 1.272
Au 12.183 0.000 0.586
Au 12.469 0.000 3.496
```

Computed properties:
E_form: -5.689 eV per formula unit
E_tot: -3.597 eV per atom

Density functional theory data (PBE) for a relaxed In2CoSb crystal.

Geometry as extended XYZ:
```
4
Lattice="2.844 -4.171 0.000 2.844 4.171 0.000 0.000 0.000 3.703" Properties=species:S:1:pos:R:3 pbc="T T T"
In 1.422 2.085 0.000
In 1.422 -2.085 0.000
Co 0.000 0.000 1.851
Sb 2.844 0.000 1.851
```

Computed properties:
raw formation energy: 0.438 eV per atom
E_tot: -3.738 eV per atom

Density functional theory data (PBE) for a relaxed Pm5Sb5O2 crystal.

Geometry as extended XYZ:
```
12
Lattice="7.283 -2.029 0.000 7.283 2.029 0.000 -1.977 0.000 10.677" Properties=species:S:1:pos:R:3 pbc="T T T"
Pm 0.000 0.000 0.000
Pm 0.531 0.000 3.559
Pm 4.782 0.000 2.191
Pm 7.807 0.000 8.486
Pm 12.058 0.000 7.118
Sb 2.362 0.000 6.489
Sb 3.184 0.000 9.466
Sb 6.295 0.000 5.338
Sb 9.406 0.000 1.211
Sb 10.228 0.000 4.188
O -0.712 0.000 8.651
O 13.301 0.000 2.026
```

Computed properties:
raw formation energy: -1.540 eV per atom
E_tot: -6.064 eV per atom

Density functional theory data (PBE) for a relaxed Er4PaGa15 crystal.

Geometry as extended XYZ:
```
20
Lattice="4.240 0.000 0.000 0.000 4.240 0.000 0.000 0.000 21.445" Properties=species:S:1:pos:R:3 pbc="T T T"
Er 0.000 0.000 2.145
Er 0.000 0.000 6.408
Er 0.000 0.000 15.037
Er 0.000 0.000 19.301
Pa 0.000 0.000 10.723
Ga 0.000 2.120 0.000
Ga 0.000 2.120 4.276
Ga 0.000 2.120 8.538
Ga 0.000 2.120 12.907
Ga 0.000 2.120 17.169
Ga 2.120 0.000 0.000
Ga 2.120 0.000 4.276
Ga 2.120 0.000 8.538
Ga 2.120 0.000 12.907
Ga 2.120 0.000 17.169
Ga 2.120 2.120 2.129
Ga 2.120 2.120 6.416
Ga 2.120 2.120 10.723
Ga 2.120 2.120 15.029
Ga 2.120 2.120 19.317
```

Computed properties:
E_form: -10.029 eV per formula unit
E_tot: -4.159 eV per atom

Density functional theory data (PBE) for a relaxed BaZnP2S8 crystal.

Geometry as extended XYZ:
```
12
Lattice="5.868 0.000 0.000 -2.934 5.082 0.000 0.000 0.000 9.215" Properties=species:S:1:pos:R:3 pbc="T T T"
Ba 0.000 0.000 0.000
Zn 0.000 0.000 4.607
P 0.000 3.388 6.843
P 2.934 1.694 2.372
S -1.953 3.410 2.967
S 0.957 1.685 2.967
S 1.937 0.013 6.247
S 0.000 3.388 8.874
S 2.934 1.694 0.341
S 0.996 5.068 2.967
S 1.977 3.397 6.247
S 4.887 1.671 6.247
```

Computed properties:
raw formation energy: -0.461 eV per atom
E_tot: -4.381 eV per atom

Density functional theory data (PBE) for a relaxed CuTcW2 crystal.

Geometry as extended XYZ:
```
4
Lattice="-1.953 1.953 3.877 1.953 -1.953 3.877 1.953 1.953 -3.877" Properties=species:S:1:pos:R:3 pbc="T T T"
Cu 0.000 0.000 0.000
Tc 0.000 0.000 3.877
W 1.953 0.000 1.938
W 0.000 1.953 1.938
```

Computed properties:
E_form: 0.903 eV per formula unit
E_tot: -9.866 eV per atom